VASP calculation (PBE+U) on crystalline VIrNF2 at its relaxed geometry.

Geometry as POSCAR:
```
VIrNF2
1.0
4.511 0.000 0.000
0.000 4.511 0.000
0.000 0.000 3.681
N F Ir V
1 2 1 1
direct
0.000 0.000 0.500
0.000 0.500 0.000
0.500 0.000 0.000
0.000 0.000 0.000
0.500 0.500 0.500
```

Total energy in eV/atom: -5.739
M_tot in μB per cell: 3.247
Density in g/cm³: 6.541
Density of states at the Fermi level in states/eV/cell: 3.1